[1]
Compound: Li2AgPt2
Source: Alexandria
Functional: PBE
Structure: optimized geometry

Properties
formation energy from the elements: -0.275 eV per atom
space group: P4/mbm (127)
energy above the most stable polymorph in this dataset: 11 meV per atom

Structure (POSCAR):
```
Li2AgPt2
1.0
7.284 0.000 0.000
0.000 7.284 0.000
0.000 0.000 2.831
Li Ag Pt
4 2 4
Direct
0.165 0.335 0.000
0.335 0.835 0.000
0.665 0.165 0.000
0.835 0.665 0.000
0.000 0.000 0.500
0.500 0.500 0.500
0.133 0.633 0.500
0.367 0.133 0.500
0.633 0.867 0.500
0.867 0.367 0.500
```

[2]
Compound: Li2AgPt
Source: Alexandria
Functional: PBE
Structure: optimized geometry

Properties
formation energy from the elements: -0.326 eV per atom
space group: Pmm2 (25)

Structure (POSCAR):
```
Li2AgPt
1.0
2.754 0.000 0.000
0.000 4.186 0.000
0.000 0.000 5.307
Li Ag Pt
2 1 1
Direct
0.000 0.000 0.000
0.500 0.500 0.286
0.500 0.500 0.770
0.000 0.000 0.489
```

[3]
Compound: LiAg2Pt
Source: Alexandria
Functional: PBE
Structure: optimized geometry

Properties
formation energy from the elements: 0.060 eV per atom
space group: I-42d (122)

Structure (POSCAR):
```
LiAg2Pt
1.0
-1.929 1.929 9.554
1.929 -1.929 9.554
1.929 1.929 -9.554
Li Ag Pt
2 4 2
Direct
0.000 0.000 0.000
0.750 0.250 0.500
0.125 0.625 0.000
0.375 0.375 0.500
0.625 0.125 0.000
0.875 0.875 0.500
0.250 0.750 0.500
0.500 0.500 0.000
```

[4]
Compound: LiAg4Pt
Source: Alexandria
Functional: PBE
Structure: optimized geometry

Properties
formation energy from the elements: 0.099 eV per atom
space group: F-43m (216)
energy above the most stable polymorph in this dataset: 0 meV per atom

Structure (POSCAR):
```
LiAg4Pt
1.0
0.000 3.813 3.813
3.813 0.000 3.813
3.813 3.813 0.000
Li Ag Pt
1 4 1
Direct
0.000 0.000 0.000
0.375 0.375 0.375
0.375 0.375 0.875
0.375 0.875 0.375
0.875 0.375 0.375
0.750 0.750 0.750
```

[5]
Compound: Li14AgPt
Source: Alexandria
Functional: PBE
Structure: optimized geometry

Properties
formation energy from the elements: -0.133 eV per atom
space group: Amm2 (38)

Structure (POSCAR):
```
Li14AgPt
1.0
7.958 0.000 0.000
0.000 4.194 4.207
0.000 -4.194 4.207
Li Ag Pt
14 1 1
Direct
0.000 0.000 0.000
0.000 0.498 0.498
0.000 0.500 0.998
0.000 0.998 0.500
0.279 0.240 0.759
0.279 0.241 0.241
0.279 0.759 0.240
0.279 0.759 0.759
0.500 0.499 0.999
0.500 0.999 0.499
0.721 0.240 0.759
0.721 0.241 0.241
0.721 0.759 0.240
0.721 0.759 0.759
0.500 0.500 0.500
0.500 0.999 0.999
```

[6]
Compound: Li2AgPt
Source: Alexandria
Functional: PBE
Structure: optimized geometry

Properties
formation energy from the elements: -0.359 eV per atom
space group: Cm (8)

Structure (POSCAR):
```
Li2AgPt
1.0
4.845 -1.450 0.000
4.845 1.450 0.000
-1.637 0.000 4.207
Li Ag Pt
2 1 1
Direct
0.000 0.000 0.000
0.240 0.240 0.603
0.747 0.747 0.109
0.500 0.500 0.507
```

[7]
Compound: LiAg2Pt
Source: Alexandria
Functional: PBE
Structure: optimized geometry

Properties
formation energy from the elements: -0.166 eV per atom
space group: P2/m (10)

Structure (POSCAR):
```
LiAg2Pt
1.0
2.770 0.000 0.000
0.000 4.355 0.000
-1.170 0.000 5.348
Li Ag Pt
1 2 1
Direct
0.000 0.000 0.000
0.409 0.500 0.242
0.591 0.500 0.758
0.000 0.000 0.500
```

[8]
Compound: Li5Ag6Pt
Source: Alexandria
Functional: PBE
Structure: optimized geometry

Properties
formation energy from the elements: -0.220 eV per atom
space group: Immm (71)

Structure (POSCAR):
```
Li5Ag6Pt
1.0
-2.116 3.547 6.371
2.116 -3.547 6.371
2.116 3.547 -6.371
Li Ag Pt
5 6 1
Direct
0.000 0.000 0.000
0.175 0.675 0.500
0.353 0.353 0.000
0.647 0.647 0.000
0.825 0.325 0.500
0.072 0.832 0.240
0.226 0.500 0.726
0.409 0.168 0.240
0.591 0.832 0.760
0.774 0.500 0.274
0.928 0.168 0.760
0.500 0.000 0.500
```

[9]
Compound: Li6AgPt
Source: Alexandria
Functional: PBE
Structure: optimized geometry

Properties
formation energy from the elements: -0.270 eV per atom
space group: Amm2 (38)
energy above the most stable polymorph in this dataset: 13 meV per atom

Structure (POSCAR):
```
Li6AgPt
1.0
4.548 0.000 0.000
0.000 2.805 4.852
0.000 -2.805 4.852
Li Ag Pt
6 1 1
Direct
0.000 0.000 0.000
0.000 0.000 0.464
0.000 0.464 0.000
0.500 0.162 0.652
0.500 0.652 0.162
0.500 0.652 0.652
0.000 0.488 0.488
0.500 0.155 0.155
```

[10]
Compound: Li2Ag2Pt
Source: Alexandria
Functional: PBE
Structure: optimized geometry

Properties
formation energy from the elements: -0.135 eV per atom
space group: P4/mbm (127)
energy above the most stable polymorph in this dataset: 19 meV per atom

Structure (POSCAR):
```
Li2Ag2Pt
1.0
7.264 0.000 0.000
0.000 7.264 0.000
0.000 0.000 2.963
Li Ag Pt
4 4 2
Direct
0.169 0.331 0.000
0.331 0.831 0.000
0.669 0.169 0.000
0.831 0.669 0.000
0.135 0.635 0.500
0.365 0.135 0.500
0.635 0.865 0.500
0.865 0.365 0.500
0.000 0.000 0.500
0.500 0.500 0.500
```

[11]
Compound: Li3AgPt
Source: Alexandria
Functional: PBE
Structure: optimized geometry

Properties
formation energy from the elements: -0.027 eV per atom
space group: Pm-3m (221)
energy above the most stable polymorph in this dataset: 348 meV per atom

Structure (POSCAR):
```
Li3AgPt
1.0
4.708 0.000 0.000
0.000 4.708 0.000
0.000 0.000 4.708
Li Ag Pt
3 1 1
Direct
0.000 0.000 0.500
0.000 0.500 0.000
0.500 0.000 0.000
0.500 0.500 0.500
0.000 0.000 0.000
```

[12]
Compound: Li2Ag8Pt
Source: Alexandria
Functional: PBE
Structure: optimized geometry

Properties
formation energy from the elements: -0.085 eV per atom
space group: C2/m (12)

Structure (POSCAR):
```
Li2Ag8Pt
1.0
7.319 -2.068 0.000
7.319 2.068 0.000
-1.704 0.000 6.194
Li Ag Pt
2 8 1
Direct
0.225 0.225 0.147
0.775 0.775 0.853
0.045 0.045 0.230
0.139 0.139 0.688
0.319 0.319 0.591
0.406 0.406 0.047
0.594 0.594 0.953
0.681 0.681 0.409
0.861 0.861 0.312
0.955 0.955 0.770
0.500 0.500 0.500
```

[13]
Compound: Li2AgPt2
Source: Alexandria
Functional: PBE
Structure: optimized geometry

Properties
formation energy from the elements: -0.286 eV per atom
space group: P4/mbm (127)
energy above the most stable polymorph in this dataset: 0 meV per atom

Structure (POSCAR):
```
Li2AgPt2
1.0
7.257 0.000 0.000
0.000 7.257 0.000
0.000 0.000 2.760
Li Ag Pt
4 2 4
Direct
0.122 0.378 0.000
0.378 0.878 0.000
0.622 0.122 0.000
0.878 0.622 0.000
0.000 0.000 0.000
0.500 0.500 0.000
0.175 0.675 0.500
0.325 0.175 0.500
0.675 0.825 0.500
0.825 0.325 0.500
```

[14]
Compound: LiAg2Pt
Source: Alexandria
Functional: PBE
Structure: optimized geometry

Properties
formation energy from the elements: -0.174 eV per atom
space group: Imm2 (44)

Structure (POSCAR):
```
LiAg2Pt
1.0
-1.550 2.287 4.520
1.550 -2.287 4.520
1.550 2.287 -4.520
Li Ag Pt
1 2 1
Direct
0.000 0.000 0.000
0.493 0.493 0.000
0.756 0.256 0.500
0.232 0.732 0.500
```

[15]
Compound: Li8Ag2Pt
Source: Alexandria
Functional: PBE
Structure: optimized geometry

Properties
formation energy from the elements: -0.252 eV per atom
space group: C2/m (12)
energy above the most stable polymorph in this dataset: 0 meV per atom

Structure (POSCAR):
```
Li8Ag2Pt
1.0
7.079 -2.070 0.000
7.079 2.070 0.000
-1.604 0.000 5.936
Li Ag Pt
8 2 1
Direct
0.038 0.038 0.253
0.139 0.139 0.677
0.328 0.328 0.594
0.404 0.404 0.066
0.596 0.596 0.934
0.672 0.672 0.406
0.861 0.861 0.323
0.962 0.962 0.747
0.220 0.220 0.143
0.780 0.780 0.857
0.500 0.500 0.500
```

[16]
Compound: Li5AgPt
Source: Alexandria
Functional: PBE
Structure: optimized geometry

Properties
formation energy from the elements: -0.230 eV per atom
space group: P4/mmm (123)
energy above the most stable polymorph in this dataset: 30 meV per atom

Structure (POSCAR):
```
Li5AgPt
1.0
4.007 0.000 0.000
0.000 4.007 0.000
0.000 0.000 7.285
Li Ag Pt
5 1 1
Direct
0.000 0.000 0.000
0.000 0.500 0.244
0.000 0.500 0.756
0.500 0.000 0.244
0.500 0.000 0.756
0.000 0.000 0.500
0.500 0.500 0.000
```

[17]
Compound: Li5Ag8Pt
Source: Alexandria
Functional: PBE
Structure: optimized geometry

Properties
formation energy from the elements: -0.072 eV per atom
space group: I-4 (82)

Structure (POSCAR):
```
Li5Ag8Pt
1.0
-3.922 3.922 3.869
3.922 -3.922 3.869
3.922 3.922 -3.869
Li Ag Pt
5 8 1
Direct
0.000 0.000 0.000
0.186 0.280 0.649
0.463 0.814 0.094
0.631 0.537 0.351
0.720 0.369 0.906
0.171 0.426 0.076
0.351 0.096 0.924
0.418 0.152 0.403
0.574 0.649 0.745
0.749 0.016 0.597
0.848 0.251 0.266
0.904 0.829 0.255
0.984 0.582 0.734
0.250 0.750 0.500
```

[18]
Compound: Li5Ag4Pt
Source: Alexandria
Functional: PBE
Structure: optimized geometry

Properties
formation energy from the elements: -0.282 eV per atom
space group: P4/mmm (123)

Structure (POSCAR):
```
Li5Ag4Pt
1.0
3.053 0.000 0.000
0.000 3.053 0.000
0.000 0.000 16.381
Li Ag Pt
5 4 1
Direct
0.000 0.000 0.000
0.000 0.000 0.207
0.000 0.000 0.414
0.000 0.000 0.586
0.000 0.000 0.793
0.500 0.500 0.105
0.500 0.500 0.310
0.500 0.500 0.690
0.500 0.500 0.895
0.500 0.500 0.500
```

[19]
Compound: LiAg2Pt
Source: Alexandria
Functional: PBE
Structure: optimized geometry

Properties
formation energy from the elements: -0.199 eV per atom
space group: Cm (8)

Structure (POSCAR):
```
LiAg2Pt
1.0
4.672 -1.423 0.000
4.672 1.423 0.000
-0.830 0.000 4.894
Li Ag Pt
1 2 1
Direct
0.000 0.000 0.000
0.510 0.510 0.524
0.757 0.757 0.264
0.259 0.259 0.775
```

[20]
Compound: LiAg2Pt
Source: Alexandria
Functional: PBE
Structure: optimized geometry

Properties
formation energy from the elements: -0.093 eV per atom
space group: P4/mmm (123)

Structure (POSCAR):
```
LiAg2Pt
1.0
2.847 0.000 0.000
0.000 2.847 0.000
0.000 0.000 7.994
Li Ag Pt
1 2 1
Direct
0.000 0.000 0.000
0.500 0.500 0.242
0.500 0.500 0.758
0.000 0.000 0.500
```

Energy (eV/atom)
-4.027, -3.506, -3.354, -3.127, -2.363, -3.539, -3.581, -2.947, -2.817, -3.249, -2.954, -3.056, -4.038, -3.589, -2.711, -2.868, -2.816, -2.984, -3.613, -3.508
M_tot (μB per formula unit)
0.00, 0.00, 0.00, 0.00, 0.00, 0.00, 0.00, 0.00, 0.00, 0.00, 0.00, 0.00, 0.00, 0.00, 0.00, 0.00, 0.00, 0.00, 0.00, 0.00